# 1
VASP calculation (GGA-PBE) on a geometry-optimized YHf3Mo structure.

The structure belongs to space group Pm-3m (No. 221); the cell edges are 4.986, 4.986 and 4.986 Å and the angles 90.00°, 90.00° and 90.00°. Symmetry generates all atoms from Y at (0.000, 0.000, 0.000), Hf at (0.000, 0.000, 0.500) and Mo at (0.500, 0.500, 0.500).

=====

# 2
VASP calculation (GGA-PBE) on a geometry-optimized DySc2Fe9 structure.

The structure belongs to space group R-3m (No. 166, hexagonal axes); the cell edges are 4.9645, 4.9645 and 23.7232 Å and the angles 90.00°, 90.00° and 120.00°. Symmetry generates all atoms from Dy at (0.0000, 0.0000, 0.0000), Sc at (0.0000, 0.0000, 0.1432), Fe at (0.0000, 0.0000, 0.3329), Fe at (0.0000, 0.0000, 0.5000) and Fe at (0.0023, 0.5011, 0.9156).

=====

So what do the calculations give for E_form? Going down the list: 2.0443 -0.1661 eV/atom.